[1]
Computed, not measured: a PBEsol-optimized structure of ZnAgW3 at the meta-GGA SCAN level of DFT.

Output
Density of states at the Fermi level: 0.6052 states/eV per atom
Energy of formation from the pure elements: 2.167 eV/atom
Total magnetization: 0.00 μB/f.u.
Energy: -48.62 eV/atom

Structure (CIF):
```
data_ZnAgW3
_chemical_formula_sum 'Zn1 Ag1 W3'
_cell_length_a 4.4932
_cell_length_b 4.4932
_cell_length_c 4.4932
_cell_angle_alpha 90.00
_cell_angle_beta 90.00
_cell_angle_gamma 90.00
_symmetry_space_group_name_H-M 'P m -3 m'
_symmetry_Int_Tables_number 221
_symmetry_space_group_name_Hall '-P 4 2 3'
loop_
_atom_site_label
_atom_site_type_symbol
_atom_site_fract_x
_atom_site_fract_y
_atom_site_fract_z
_atom_site_occupancy
Zn1 Zn 0.0000 0.0000 0.0000 1
Ag1 Ag 0.5000 0.5000 0.5000 1
W1 W 0.0000 0.0000 0.5000 1
```

***

[2]
Computed, not measured: a PBEsol-optimized structure of Zn2AgW at the meta-GGA SCAN level of DFT.

Output
Density of states at the Fermi level: 0.6043 states/eV per atom
Energy of formation from the pure elements: 0.603 eV/atom
Energy above the lowest structure with this stoichiometry: 307.1 meV per atom
Total magnetization: 1.36 μB/f.u.
Energy: -31.42 eV/atom

Structure (CIF):
```
data_Zn2AgW
_chemical_formula_sum 'Zn8 Ag4 W4'
_cell_length_a 6.1775
_cell_length_b 6.1775
_cell_length_c 6.1775
_cell_angle_alpha 90.00
_cell_angle_beta 90.00
_cell_angle_gamma 90.00
_symmetry_space_group_name_H-M 'F m -3 m'
_symmetry_Int_Tables_number 225
_symmetry_space_group_name_Hall '-F 4 2 3'
loop_
_atom_site_label
_atom_site_type_symbol
_atom_site_fract_x
_atom_site_fract_y
_atom_site_fract_z
_atom_site_occupancy
Zn1 Zn 0.2500 0.2500 0.2500 1
Ag1 Ag 0.0000 0.0000 0.0000 1
W1 W 0.0000 0.0000 0.5000 1
```